Compound: Hg2Te2Cl
Source: Alexandria via LeMat-Bulk
Functional: GGA-PBE
Structure: relaxed

a = 8.587 Å, b = 8.587 Å, c = 3.714 Å
α = 90.00°, β = 90.00°, γ = 90.00°
Fractional positions:
Hg: 0.167 0.333 0.000
Hg: 0.333 0.833 0.000
Hg: 0.667 0.167 0.000
Hg: 0.833 0.667 0.000
Te: 0.138 0.638 0.500
Te: 0.362 0.138 0.500
Te: 0.638 0.862 0.500
Te: 0.862 0.362 0.500
Cl: 0.000 0.000 0.000
Cl: 0.500 0.500 0.000

Distance to the lowest polymorph of the same formula (meV/atom): 393
Total moment (μB per formula unit): 0.0
Energy (eV per cell): -16.38
Energy relative to the elements, uncorrected (eV/atom): 0.11
Calculated volume (Å³/cell): 273.9
SG: P4/mbm, No. 127